A geometry-optimized BaZn2InCo structure. Source: Alexandria, functional GGA-PBE.

abc: 4.865 4.865 4.920
angles: 90.00 90.00 90.00
Atoms (fractional coordinates):
Ba1 0.000 0.000 0.000
Zn1 0.000 0.500 0.500
Zn2 0.500 0.000 0.500
In1 0.500 0.500 0.000
Co1 0.500 0.500 0.500

Summary:
Density = 6.30 g/cm³
E = -0.221 Ry/atom



A geometry-optimized Ba2ZnInCo structure. Source: Alexandria, functional GGA-PBE.

abc: 6.268 6.268 4.553
angles: 90.00 90.00 90.00
Atoms (fractional coordinates):
Ba1 0.000 0.500 0.000
Ba2 0.500 0.000 0.000
Zn1 0.000 0.000 0.000
In1 0.500 0.500 0.500
Co1 0.000 0.000 0.500

Summary:
Density = 4.77 g/cm³
E = -0.202 Ry/atom



A geometry-optimized BaCo2Ir structure. Source: Alexandria, functional GGA-PBE.

abc: 4.521 4.005 5.236
angles: 90.00 100.99 90.00
Atoms (fractional coordinates):
Ba1 0.000 0.000 0.000
Co1 0.310 0.500 0.588
Co2 0.519 0.000 0.487
Ir1 0.800 0.500 0.454

Summary:
Density = 7.98 g/cm³
E = -0.429 Ry/atom



A geometry-optimized BaCo2Ir structure. Source: Alexandria, functional GGA-PBE.

abc: 4.226 4.226 16.738
angles: 90.00 90.00 120.00
Atoms (fractional coordinates):
Ba1 0.000 0.000 0.000
Ba2 0.333 0.667 0.667
Ba3 0.667 0.333 0.333
Co1 0.000 0.000 0.183
Co2 0.000 0.000 0.817
Co3 0.333 0.667 0.483
Co4 0.333 0.667 0.850
Co5 0.667 0.333 0.150
Co6 0.667 0.333 0.517
Ir1 0.000 0.000 0.500
Ir2 0.333 0.667 0.167
Ir3 0.667 0.333 0.833

Summary:
Density = 8.61 g/cm³
E = -0.456 Ry/atom



A geometry-optimized BaCoIr structure. Source: Alexandria, functional GGA-PBE.

abc: 4.128 6.272 6.420
angles: 93.81 108.71 109.19
Atoms (fractional coordinates):
Ba1 0.220 0.293 0.145
Ba2 0.780 0.707 0.855
Co1 0.343 0.101 0.585
Co2 0.657 0.899 0.415
Ir1 0.059 0.685 0.434
Ir2 0.941 0.315 0.566

Summary:
Density = 8.84 g/cm³
Relative energy among the computed polymorphs = 0 meV per atom



A geometry-optimized BaCoIr2 structure. Source: Alexandria, functional GGA-PBE.

abc: 6.744 6.744 6.744
angles: 90.00 90.00 90.00
Atoms (fractional coordinates):
Ba1 0.000 0.000 0.000
Ba2 0.000 0.500 0.500
Ba3 0.500 0.000 0.500
Ba4 0.500 0.500 0.000
Co1 0.000 0.000 0.500
Co2 0.000 0.500 0.000
Co3 0.500 0.000 0.000
Co4 0.500 0.500 0.500
Ir1 0.250 0.250 0.250
Ir2 0.250 0.250 0.750
Ir3 0.250 0.750 0.250
Ir4 0.250 0.750 0.750
Ir5 0.750 0.250 0.250
Ir6 0.750 0.250 0.750
Ir7 0.750 0.750 0.250
Ir8 0.750 0.750 0.750

Summary:
Density = 12.58 g/cm³
E = -0.415 Ry/atom



A geometry-optimized BaCo2Ir structure. Source: Alexandria, functional GGA-PBE.

abc: 4.498 4.192 5.092
angles: 90.00 90.08 90.00
Atoms (fractional coordinates):
Ba1 0.000 0.000 0.000
Co1 0.238 0.500 0.500
Co2 0.762 0.500 0.500
Ir1 0.500 0.000 0.500

Summary:
Density = 7.74 g/cm³
E = -0.429 Ry/atom



A geometry-optimized BaCoIr2 structure. Source: Alexandria, functional GGA-PBE.

abc: 5.687 9.006 2.952
angles: 90.00 90.00 90.00
Atoms (fractional coordinates):
Ba1 0.000 0.000 0.000
Ba2 0.500 0.500 0.000
Co1 0.000 0.500 0.000
Co2 0.500 0.000 0.000
Ir1 0.250 0.250 0.500
Ir2 0.250 0.750 0.500
Ir3 0.750 0.250 0.500
Ir4 0.750 0.750 0.500

Summary:
Density = 12.76 g/cm³
E = -0.421 Ry/atom



Among the records above, which one has the lowest density?
Ba2ZnInCo



density of number 3 (BaCo2Ir)?
7.98 g/cm³